No. 1
VASP calculation (PBE) on a geometry-optimized YErTm structure.

abc: 7.595 7.595 7.595
angles: 90.00 90.00 90.00
Fractional coordinates of all 12 atoms:
Y (0.000, 0.000, 0.000)
Y (0.000, 0.500, 0.500)
Y (0.500, 0.000, 0.500)
Y (0.500, 0.500, 0.000)
Er (0.000, 0.000, 0.500)
Er (0.000, 0.500, 0.000)
Er (0.500, 0.000, 0.000)
Er (0.500, 0.500, 0.500)
Tm (0.250, 0.250, 0.750)
Tm (0.250, 0.750, 0.250)
Tm (0.750, 0.250, 0.250)
Tm (0.750, 0.750, 0.750)

Calculated values
E   -4.4416 eV/atom
Polymorph energy (0 for the lowest one)   0.0 meV/atom
Energy of formation from the pure elements   0.726 eV per atom
Space-group type   F-43m (216)


No. 2
VASP calculation (PBE) on a geometry-optimized TbHo2S3 structure.

abc: 3.889 3.889 9.548
angles: 90.00 90.00 120.00
Fractional coordinates of all 6 atoms:
Tb (0.000, 0.000, 0.000)
Ho (0.333, 0.667, 0.667)
Ho (0.667, 0.333, 0.333)
S (0.000, 0.000, 0.500)
S (0.333, 0.667, 0.170)
S (0.667, 0.333, 0.830)

Calculated values
E   -6.3479 eV/atom
Space-group type   P-3m1 (164)


No. 3
VASP calculation (PBE) on a geometry-optimized La2Sm2BBr5 structure.

abc: 9.479 9.479 8.673
angles: 102.46 102.46 25.00
Fractional coordinates of all 10 atoms:
La (0.002, 0.002, 0.285)
La (0.998, 0.998, 0.715)
Sm (0.357, 0.357, 0.425)
Sm (0.643, 0.643, 0.575)
B (0.500, 0.500, 0.500)
Br (0.168, 0.168, 0.825)
Br (0.174, 0.174, 0.346)
Br (0.500, 0.500, 0.000)
Br (0.826, 0.826, 0.654)
Br (0.832, 0.832, 0.175)

Calculated values
E   -4.8581 eV/atom
Space-group type   C2/m (12)


No. 4
VASP calculation (PBE) on a geometry-optimized Pr5Co2C6 structure.

abc: 8.751 8.751 8.751
angles: 40.76 40.76 40.76
Fractional coordinates of all 13 atoms:
Pr (0.000, 0.000, 0.000)
Pr (0.213, 0.213, 0.213)
Pr (0.407, 0.407, 0.407)
Pr (0.593, 0.593, 0.593)
Pr (0.787, 0.787, 0.787)
Co (0.101, 0.101, 0.101)
Co (0.899, 0.899, 0.899)
C (0.264, 0.500, 0.736)
C (0.264, 0.736, 0.500)
C (0.500, 0.264, 0.736)
C (0.500, 0.736, 0.264)
C (0.736, 0.264, 0.500)
C (0.736, 0.500, 0.264)

Calculated values
E   -6.6924 eV/atom
Space-group type   R-3m (166)


No. 5
VASP calculation (PBE) on a geometry-optimized Ta4CoGeC2 structure.

abc: 3.131 3.131 12.954
angles: 90.00 90.00 120.00
Fractional coordinates of all 8 atoms:
Ta (0.000, 0.000, 0.147)
Ta (0.000, 0.000, 0.853)
Ta (0.333, 0.667, 0.340)
Ta (0.333, 0.667, 0.660)
Co (0.333, 0.667, 0.000)
Ge (0.000, 0.000, 0.500)
C (0.667, 0.333, 0.243)
C (0.667, 0.333, 0.757)

Calculated values
E   -10.0710 eV/atom
Space-group type   P-6m2 (187)


No. 6
VASP calculation (PBE) on a geometry-optimized Dy3Mg3Al2Hg structure.

abc: 7.445 7.445 4.464
angles: 90.00 90.00 120.00
Fractional coordinates of all 9 atoms:
Dy (0.000, 0.576, 0.000)
Dy (0.424, 0.424, 0.000)
Dy (0.576, 0.000, 0.000)
Mg (0.000, 0.246, 0.500)
Mg (0.246, 0.000, 0.500)
Mg (0.754, 0.754, 0.500)
Al (0.333, 0.667, 0.500)
Al (0.667, 0.333, 0.500)
Hg (0.000, 0.000, 0.000)

Calculated values
E   -3.2808 eV/atom
Space-group type   P-62m (189)


No. 7
VASP calculation (PBE) on a geometry-optimized NbCu6Mo structure.

abc: 4.267 5.500 4.441
angles: 90.00 90.00 90.00
Fractional coordinates of all 8 atoms:
Nb (0.000, 0.000, 0.000)
Cu (0.000, 0.259, 0.496)
Cu (0.000, 0.500, 0.983)
Cu (0.000, 0.741, 0.496)
Cu (0.500, 0.000, 0.358)
Cu (0.500, 0.255, 0.828)
Cu (0.500, 0.745, 0.828)
Mo (0.500, 0.500, 0.322)

Calculated values
E   -5.1813 eV/atom
Energy of formation from the pure elements   0.224 eV per atom
Space-group type   Pmm2 (25)


No. 8
VASP calculation (PBE) on a geometry-optimized TbPrFe structure.

abc: 6.722 6.722 6.722
angles: 90.00 90.00 90.00
Fractional coordinates of all 12 atoms:
Tb (0.000, 0.000, 0.000)
Tb (0.000, 0.500, 0.500)
Tb (0.500, 0.000, 0.500)
Tb (0.500, 0.500, 0.000)
Pr (0.000, 0.000, 0.500)
Pr (0.000, 0.500, 0.000)
Pr (0.500, 0.000, 0.000)
Pr (0.500, 0.500, 0.500)
Fe (0.250, 0.250, 0.750)
Fe (0.250, 0.750, 0.250)
Fe (0.750, 0.250, 0.250)
Fe (0.750, 0.750, 0.750)

Calculated values
E   -5.6398 eV/atom
Energy of formation from the pure elements   0.264 eV per atom
Space-group type   F-43m (216)


No. 9
VASP calculation (PBE) on a geometry-optimized ZnSiBi structure.

abc: 6.668 6.668 6.668
angles: 90.00 90.00 90.00
Fractional coordinates of all 12 atoms:
Zn (0.000, 0.000, 0.000)
Zn (0.000, 0.500, 0.500)
Zn (0.500, 0.000, 0.500)
Zn (0.500, 0.500, 0.000)
Si (0.250, 0.250, 0.750)
Si (0.250, 0.750, 0.250)
Si (0.750, 0.250, 0.250)
Si (0.750, 0.750, 0.750)
Bi (0.000, 0.000, 0.500)
Bi (0.000, 0.500, 0.000)
Bi (0.500, 0.000, 0.000)
Bi (0.500, 0.500, 0.500)

Calculated values
E   -3.1579 eV/atom
Polymorph energy (0 for the lowest one)   0.0 meV/atom
Space-group type   F-43m (216)


No. 10
VASP calculation (PBE) on a geometry-optimized TaCuPbW structure.

abc: 6.582 6.582 6.582
angles: 90.00 90.00 90.00
Fractional coordinates of all 16 atoms:
Ta (0.000, 0.000, 0.000)
Ta (0.000, 0.500, 0.500)
Ta (0.500, 0.000, 0.500)
Ta (0.500, 0.500, 0.000)
Cu (0.250, 0.250, 0.750)
Cu (0.250, 0.750, 0.250)
Cu (0.750, 0.250, 0.250)
Cu (0.750, 0.750, 0.750)
Pb (0.000, 0.000, 0.500)
Pb (0.000, 0.500, 0.000)
Pb (0.500, 0.000, 0.000)
Pb (0.500, 0.500, 0.500)
W (0.250, 0.250, 0.250)
W (0.250, 0.750, 0.750)
W (0.750, 0.250, 0.750)
W (0.750, 0.750, 0.250)

Calculated values
E   -7.3423 eV/atom
Polymorph energy (0 for the lowest one)   0.0 meV/atom
Space-group type   F-43m (216)


No. 11
VASP calculation (PBE) on a geometry-optimized LaGdMg2Ag2 structure.

abc: 7.779 4.296 13.511
angles: 90.00 90.10 90.00
Fractional coordinates of all 18 atoms:
La (0.000, 0.000, 0.000)
La (0.001, 0.000, 0.417)
La (0.501, 0.000, 0.914)
Gd (0.124, 0.000, 0.705)
Gd (0.501, 0.000, 0.501)
Gd (0.624, 0.000, 0.211)
Mg (0.332, 0.500, 0.091)
Mg (0.333, 0.500, 0.330)
Mg (0.467, 0.500, 0.704)
Mg (0.827, 0.500, 0.588)
Mg (0.831, 0.500, 0.824)
Mg (0.966, 0.500, 0.210)
Ag (0.206, 0.500, 0.868)
Ag (0.214, 0.000, 0.209)
Ag (0.214, 0.500, 0.545)
Ag (0.700, 0.500, 0.376)
Ag (0.705, 0.500, 0.048)
Ag (0.712, 0.000, 0.704)

Calculated values
E   -3.3308 eV/atom
Space-group type   Pm (6)


No. 12
VASP calculation (PBE) on a geometry-optimized DyMgPd structure.

abc: 6.618 6.618 6.618
angles: 90.00 90.00 90.00
Fractional coordinates of all 12 atoms:
Dy (0.000, 0.000, 0.000)
Dy (0.000, 0.500, 0.500)
Dy (0.500, 0.000, 0.500)
Dy (0.500, 0.500, 0.000)
Mg (0.000, 0.000, 0.500)
Mg (0.000, 0.500, 0.000)
Mg (0.500, 0.000, 0.000)
Mg (0.500, 0.500, 0.500)
Pd (0.250, 0.250, 0.250)
Pd (0.250, 0.750, 0.750)
Pd (0.750, 0.250, 0.750)
Pd (0.750, 0.750, 0.250)

Calculated values
E   -4.3166 eV/atom
Space-group type   F-43m (216)


Which value of E does entry 7 give?
-5.1813 eV/atom


Among the records above, which one has the highest E?
ZnSiBi


Number 7 is which compound?
NbCu6Mo


The lowest E belongs to which entry?
Ta4CoGeC2